A geometry-optimized CeThN2 structure. Source: Alexandria, functional GGA-PBE.

```
data_CeThN2
_cell_length_a 3.5571
_cell_length_b 3.5571
_cell_length_c 18.4434
_cell_angle_alpha 90.00
_cell_angle_beta 90.00
_cell_angle_gamma 120.00
_space_group_name_H-M_alt 'R 3 m'
_space_group_IT_number 160
_space_group_name_Hall 'R 3 -2"'
loop_
_atom_site_label
_atom_site_type_symbol
_atom_site_fract_x
_atom_site_fract_y
_atom_site_fract_z
Ce1 Ce 0.0000 0.0000 0.0000
Th1 Th 0.0000 0.0000 0.1735
N1 N 0.0000 0.0000 0.5840
N2 N 0.0000 0.0000 0.7554
```

Values from the calculation:
**Theoretical density**: 9.9 g/cm³
**Uncorrected formation energy**: -514 kJ/mol of formula units


A geometry-optimized CeYMg2 structure. Source: Alexandria, functional GGA-PBE.

```
data_CeYMg2
_cell_length_a 3.3251
_cell_length_b 3.3251
_cell_length_c 34.2323
_cell_angle_alpha 90.00
_cell_angle_beta 90.00
_cell_angle_gamma 120.00
_space_group_name_H-M_alt 'R -3 m'
_space_group_IT_number 166
_space_group_name_Hall '-R 3 2"'
loop_
_atom_site_label
_atom_site_type_symbol
_atom_site_fract_x
_atom_site_fract_y
_atom_site_fract_z
Ce1 Ce 0.0000 0.0000 0.0000
Y1 Y 0.0000 0.0000 0.5000
Mg1 Mg 0.0000 0.0000 0.2489
```

Values from the calculation:
**Theoretical density**: 4.2 g/cm³
**ΔE to the lowest computed polymorph**: 83 meV per atom
**Formation enthalpy at 0 K**: 0.063 eV per atom


A geometry-optimized Tb2NdVN4 structure. Source: Alexandria, functional GGA-PBE.

```
data_Tb2NdVN4
_cell_length_a 3.4042
_cell_length_b 11.7966
_cell_length_c 11.8227
_cell_angle_alpha 90.00
_cell_angle_beta 90.00
_cell_angle_gamma 90.00
_space_group_name_H-M_alt 'C m c m'
_space_group_IT_number 63
_space_group_name_Hall '-C 2c 2'
loop_
_atom_site_label
_atom_site_type_symbol
_atom_site_fract_x
_atom_site_fract_y
_atom_site_fract_z
Tb1 Tb 0.0000 0.1298 0.0423
Nd1 Nd 0.0000 0.4158 0.2500
V1 V 0.0000 0.3248 0.7500
N1 N 0.0000 0.0785 0.2500
N2 N 0.0000 0.2355 0.6264
N3 N 0.0000 0.5000 0.0000
```

Values from the calculation:
**Theoretical density**: 8.0 g/cm³
**Uncorrected formation energy**: -1031 kJ/mol of formula units


A geometry-optimized La4PmPr2Cd structure. Source: Alexandria, functional GGA-PBE.

```
data_La4PmPr2Cd
_cell_length_a 5.9884
_cell_length_b 5.9884
_cell_length_c 7.6589
_cell_angle_alpha 90.00
_cell_angle_beta 90.00
_cell_angle_gamma 90.00
_space_group_name_H-M_alt 'P 4/m m m'
_space_group_IT_number 123
_space_group_name_Hall '-P 4 2'
loop_
_atom_site_label
_atom_site_type_symbol
_atom_site_fract_x
_atom_site_fract_y
_atom_site_fract_z
La1 La 0.0000 0.5000 0.2272
Pm1 Pm 0.0000 0.0000 0.5000
Pr1 Pr 0.0000 0.0000 0.0000
Pr2 Pr 0.5000 0.5000 0.5000
Cd1 Cd 0.5000 0.5000 0.0000
```

Values from the calculation:
**Theoretical density**: 6.6 g/cm³
**Formation enthalpy at 0 K**: -0.004 eV per atom


A geometry-optimized RePBr2 structure. Source: Alexandria, functional GGA-PBE.

```
data_RePBr2
_cell_length_a 3.2129
_cell_length_b 3.2129
_cell_length_c 9.0221
_cell_angle_alpha 90.00
_cell_angle_beta 90.00
_cell_angle_gamma 90.00
_space_group_name_H-M_alt 'P 4 m m'
_space_group_IT_number 99
_space_group_name_Hall 'P 4 -2'
loop_
_atom_site_label
_atom_site_type_symbol
_atom_site_fract_x
_atom_site_fract_y
_atom_site_fract_z
Re1 Re 0.0000 0.0000 0.0000
P1 P 0.5000 0.5000 0.0950
Br1 Br 0.0000 0.0000 0.7323
Br2 Br 0.5000 0.5000 0.3465
```

Values from the calculation:
**Theoretical density**: 6.7 g/cm³
**Uncorrected formation energy**: 43 kJ/mol of formula units
**ΔE to the lowest computed polymorph**: 112 meV per atom


A geometry-optimized RbCrW3 structure. Source: Alexandria, functional GGA-PBE.

```
data_RbCrW3
_cell_length_a 4.7161
_cell_length_b 4.7161
_cell_length_c 4.7161
_cell_angle_alpha 90.00
_cell_angle_beta 90.00
_cell_angle_gamma 90.00
_space_group_name_H-M_alt 'P m -3 m'
_space_group_IT_number 221
_space_group_name_Hall '-P 4 2 3'
loop_
_atom_site_label
_atom_site_type_symbol
_atom_site_fract_x
_atom_site_fract_y
_atom_site_fract_z
Rb1 Rb 0.0000 0.0000 0.0000
Cr1 Cr 0.5000 0.5000 0.5000
W1 W 0.0000 0.5000 0.5000
```

Values from the calculation:
**Theoretical density**: 10.9 g/cm³
**ΔE to the lowest computed polymorph**: 0 meV per atom
**Formation enthalpy at 0 K**: 2.078 eV per atom


A geometry-optimized SrTeI2O structure. Source: Alexandria, functional GGA-PBE.

```
data_SrTeI2O
_cell_length_a 5.3434
_cell_length_b 5.3434
_cell_length_c 4.8590
_cell_angle_alpha 90.00
_cell_angle_beta 90.00
_cell_angle_gamma 90.00
_space_group_name_H-M_alt 'P 4/m m m'
_space_group_IT_number 123
_space_group_name_Hall '-P 4 2'
loop_
_atom_site_label
_atom_site_type_symbol
_atom_site_fract_x
_atom_site_fract_y
_atom_site_fract_z
Sr1 Sr 0.0000 0.0000 0.0000
Te1 Te 0.5000 0.5000 0.0000
I1 I 0.0000 0.5000 0.5000
O1 O 0.5000 0.5000 0.5000
```

Values from the calculation:
**Theoretical density**: 5.8 g/cm³
**Uncorrected formation energy**: -273 kJ/mol of formula units
**ΔE to the lowest computed polymorph**: 121 meV per atom


A geometry-optimized ZnCdB3 structure. Source: Alexandria, functional GGA-PBE.

```
data_ZnCdB3
_cell_length_a 4.1428
_cell_length_b 4.1428
_cell_length_c 4.1428
_cell_angle_alpha 90.00
_cell_angle_beta 90.00
_cell_angle_gamma 90.00
_space_group_name_H-M_alt 'P m -3 m'
_space_group_IT_number 221
_space_group_name_Hall '-P 4 2 3'
loop_
_atom_site_label
_atom_site_type_symbol
_atom_site_fract_x
_atom_site_fract_y
_atom_site_fract_z
Zn1 Zn 0.0000 0.0000 0.0000
Cd1 Cd 0.5000 0.5000 0.5000
B1 B 0.0000 0.0000 0.5000
```

Values from the calculation:
**Theoretical density**: 4.9 g/cm³
**ΔE to the lowest computed polymorph**: 0 meV per atom
**Formation enthalpy at 0 K**: 1.819 eV per atom